(1)
Cd4Si23 | PBE-GGA | relaxed

Lattice parameters (Å, degrees): 10.2647 10.2647 10.2647 90.00 90.00 90.00
Last column: nearest neighbours and their distance in Å.
Fractional coordinates of all 54 atoms:
Si 0.3162 0.6838 0.6838  4 Si 2.35-2.38
Si 0.8162 0.1838 0.8162  4 Si 2.35-2.38
Si 0.3079 0.1173 0.0000  4 Si 2.38-2.41
Si 0.5000 0.3827 0.1921  4 Si 2.38-2.41
Si 0.2500 0.0000 0.5000  4 Si 2.40
Si 0.5000 0.2500 0.0000  4 Si 2.40
Si 0.5000 0.6173 0.8079  4 Si 2.38-2.41
Si 0.1921 0.5000 0.6173  4 Si 2.38-2.41
Si 0.1838 0.8162 0.8162  4 Si 2.35-2.38
Si 0.1173 0.0000 0.6921  4 Si 2.38-2.41
Si 0.5000 0.6173 0.1921  4 Si 2.38-2.41
Si 0.0000 0.6921 0.8827  4 Si 2.38-2.41
Si 0.3162 0.6838 0.3162  4 Si 2.35-2.38
Si 0.1838 0.1838 0.8162  4 Si 2.35-2.38
Si 0.6838 0.3162 0.6838  4 Si 2.35-2.38
Si 0.6921 0.8827 0.0000  4 Si 2.38-2.41
Si 0.8079 0.5000 0.3827  4 Si 2.38-2.41
Si 0.3162 0.3162 0.6838  4 Si 2.35-2.38
Si 0.3079 0.8827 0.0000  4 Si 2.38-2.41
Si 0.6838 0.6838 0.3162  4 Si 2.35-2.38
Si 0.0000 0.5000 0.2500  4 Si 2.40
Si 0.5000 0.7500 0.0000  4 Si 2.40
Si 0.3162 0.3162 0.3162  4 Si 2.35-2.38
Si 0.0000 0.3079 0.8827  4 Si 2.38-2.41
Si 0.6173 0.8079 0.5000  4 Si 2.38-2.41
Si 0.1173 0.0000 0.3079  4 Si 2.38-2.41
Si 0.6173 0.1921 0.5000  4 Si 2.38-2.41
Si 0.8827 0.0000 0.6921  4 Si 2.38-2.41
Si 0.5000 0.3827 0.8079  4 Si 2.38-2.41
Si 0.0000 0.5000 0.7500  4 Si 2.40
Si 0.0000 0.6921 0.1173  4 Si 2.38-2.41
Si 0.8162 0.8162 0.1838  4 Si 2.35-2.38
Si 0.0000 0.3079 0.1173  4 Si 2.38-2.41
Si 0.3827 0.1921 0.5000  4 Si 2.38-2.41
Si 0.1921 0.5000 0.3827  4 Si 2.38-2.41
Si 0.3827 0.8079 0.5000  4 Si 2.38-2.41
Si 0.8079 0.5000 0.6173  4 Si 2.38-2.41
Si 0.7500 0.0000 0.5000  4 Si 2.40
Si 0.6921 0.1173 0.0000  4 Si 2.38-2.41
Si 0.6838 0.6838 0.6838  4 Si 2.35-2.38
Si 0.8827 0.0000 0.3079  4 Si 2.38-2.41
Si 0.8162 0.1838 0.1838  4 Si 2.35-2.38
Si 0.6838 0.3162 0.3162  4 Si 2.35-2.38
Si 0.1838 0.1838 0.1838  4 Si 2.35-2.38
Si 0.1838 0.8162 0.1838  4 Si 2.35-2.38
Si 0.8162 0.8162 0.8162  4 Si 2.35-2.38
Cd 0.5000 0.5000 0.5000  20 Si 3.27-3.38
Cd 0.0000 0.0000 0.0000  20 Si 3.27-3.38
Cd 0.7500 0.5000 0.0000  20 Si 3.45-3.82
Cd 0.5000 0.0000 0.7500  20 Si 3.45-3.82
Cd 0.0000 0.7500 0.5000  20 Si 3.45-3.82
Cd 0.5000 0.0000 0.2500  20 Si 3.45-3.82
Cd 0.2500 0.5000 0.0000  20 Si 3.45-3.82
Cd 0.0000 0.2500 0.5000  20 Si 3.45-3.82

- ΔE_f (raw): 0.096 eV/atom
- Fermi-level density of states: 5.33 states/eV per cell
- Crystal system: cubic
- Size of the total moment: 0.000 μB per atom

(2)
CdSi2 | PBE-GGA | relaxed

Lattice parameters (Å, degrees): 10.7845 10.7845 3.5255 90.00 90.00 163.30
Last column: nearest neighbours and their distance in Å.
Fractional coordinates of all 6 atoms:
Cd 0.8778 0.1222 0.7500  6 Si 2.85-2.95, 2 Cd 3.13
Cd 0.1222 0.8778 0.2500  6 Si 2.85-2.95, 2 Cd 3.13
Si 0.5393 0.4607 0.7500  2 Si 2.43
Si 0.7340 0.2660 0.2500  4 Si 2.46
Si 0.4607 0.5393 0.2500  2 Si 2.43
Si 0.2660 0.7340 0.7500  4 Si 2.46

- ΔE_f (raw): 0.431 eV/atom
- Fermi-level density of states: 1.35 states/eV per cell
- Crystal system: orthorhombic
- Size of the total moment: 0.000 μB per atom
- E above lowest polymorph: 0.094 eV/atom

(3)
CdSi2 | PBE-GGA | relaxed

Lattice parameters (Å, degrees): 4.4964 4.4964 4.4964 60.00 60.00 60.00
Last column: nearest neighbours and their distance in Å.
Fractional coordinates of all 3 atoms:
Cd 0.0000 0.0000 0.0000  8 Si 2.75
Si 0.7500 0.7500 0.7500  4 Cd 2.75
Si 0.2500 0.2500 0.2500  4 Cd 2.75

- ΔE_f (raw): 0.702 eV/atom
- Fermi-level density of states: 0.65 states/eV per cell
- Crystal system: cubic
- Size of the total moment: 0.000 μB per atom
- E above lowest polymorph: 0.364 eV/atom

(4)
CdSi3 | PBE-GGA | relaxed

Lattice parameters (Å, degrees): 5.5453 5.5453 5.5453 117.44 117.44 117.44
Last column: nearest neighbours and their distance in Å.
Fractional coordinates of all 4 atoms:
Si 0.5000 0.0000 0.5000  6 Si 2.69-2.88, 2 Cd 2.88
Si 0.0000 0.5000 0.5000  6 Si 2.69-2.88, 2 Cd 2.88
Si 0.5000 0.5000 0.0000  6 Si 2.69-2.88, 2 Cd 2.88
Cd 0.0000 0.0000 0.0000  2 Cd 2.69, 6 Si 2.88

- ΔE_f (raw): 0.618 eV/atom
- Fermi-level density of states: 1.09 states/eV per cell
- Crystal system: trigonal
- Size of the total moment: 0.000 μB per atom
- E above lowest polymorph: 0.242 eV/atom

(5)
CdSi2 | PBE-GGA | relaxed

Lattice parameters (Å, degrees): 6.3253 6.3253 6.3253 90.00 90.00 90.00
Last column: nearest neighbours and their distance in Å.
Fractional coordinates of all 12 atoms:
Si 0.3921 0.1079 0.1079  1 Si 2.37
Si 0.1079 0.6079 0.1079  1 Si 2.37
Si 0.6079 0.8921 0.8921  1 Si 2.37
Si 0.3921 0.3921 0.6079  1 Si 2.37
Si 0.6079 0.6079 0.3921  1 Si 2.37
Si 0.8921 0.3921 0.8921  1 Si 2.37
Si 0.1079 0.8921 0.6079  1 Si 2.37
Si 0.8921 0.1079 0.3921  1 Si 2.37
Cd 0.0000 0.0000 0.0000  6 Si 2.66
Cd 0.5000 0.5000 0.0000  6 Si 2.66
Cd 0.0000 0.5000 0.5000  6 Si 2.66
Cd 0.5000 0.0000 0.5000  6 Si 2.66

- ΔE_f (raw): 0.671 eV/atom
- Fermi-level density of states: 4.31 states/eV per cell
- Crystal system: cubic
- Size of the total moment: 0.000 μB per atom
- E above lowest polymorph: 0.334 eV/atom

(6)
CdSi3 | PBE-GGA | relaxed

Lattice parameters (Å, degrees): 2.8283 2.8283 10.1027 90.00 90.00 120.00
Last column: nearest neighbours and their distance in Å.
Fractional coordinates of all 4 atoms:
Si 0.6667 0.3333 0.2918  9 Si 2.66-2.83
Si 0.0000 0.0000 0.5000  12 Si 2.66-2.83
Si 0.6667 0.3333 0.7082  9 Si 2.66-2.83
Cd 0.0000 0.0000 0.0000  6 Cd 2.83

- ΔE_f (raw): 0.499 eV/atom
- Fermi-level density of states: 2.27 states/eV per cell
- Crystal system: hexagonal
- Size of the total moment: 0.000 μB per atom
- E above lowest polymorph: 0.123 eV/atom

(7)
CdSi2 | PBE-GGA | relaxed

Lattice parameters (Å, degrees): 4.7091 4.7091 2.8028 90.00 90.00 120.00
Last column: nearest neighbours and their distance in Å.
Fractional coordinates of all 3 atoms:
Si 0.3333 0.6667 0.5000  5 Si 2.72-2.80
Si 0.6667 0.3333 0.5000  5 Si 2.72-2.80
Cd 0.0000 0.0000 0.0000  2 Cd 2.80, 12 Si 3.06

- ΔE_f (raw): 0.500 eV/atom
- Fermi-level density of states: 1.19 states/eV per cell
- Crystal system: hexagonal
- Size of the total moment: 0.000 μB per atom
- E above lowest polymorph: 0.162 eV/atom

(8)
Cd7Si | PBE-GGA | relaxed

Lattice parameters (Å, degrees): 6.2692 6.2692 6.2692 60.00 60.00 60.00
Last column: nearest neighbours and their distance in Å.
Fractional coordinates of all 8 atoms:
Cd 0.5000 0.5000 0.0000  10 Cd 3.13, 2 Si 3.13
Cd 0.0000 0.5000 0.0000  10 Cd 3.13, 2 Si 3.13
Cd 0.0000 0.0000 0.5000  10 Cd 3.13, 2 Si 3.13
Cd 0.0000 0.5000 0.5000  10 Cd 3.13, 2 Si 3.13
Cd 0.5000 0.5000 0.5000  12 Cd 3.13
Cd 0.5000 0.0000 0.0000  10 Cd 3.13, 2 Si 3.13
Cd 0.5000 0.0000 0.5000  10 Cd 3.13, 2 Si 3.13
Si 0.0000 0.0000 0.0000  12 Cd 3.13

- ΔE_f (raw): 0.157 eV/atom
- Fermi-level density of states: 2.61 states/eV per cell
- Crystal system: cubic
- Size of the total moment: 0.000 μB per atom